(1)
DFT (PBE) results for CsTbIn2 after structural relaxation.

Lattice parameters (Å, degrees): 3.9235 3.9235 9.1946 90.00 90.00 90.00
Closest atoms and distances in Å follow each position.
Sites, in units of the cell vectors:
1 Cs 0.5000 0.5000 0.5000  4 Cs 3.92, 8 In 4.02
2 Tb 0.5000 0.5000 0.0000  8 In 3.25
3 In 0.0000 0.0000 0.8167  4 Tb 3.25, 1 In 3.37
4 In 0.0000 0.0000 0.1833  4 Tb 3.25, 1 In 3.37

Results
As for the formation energy: -0.204 eV per atom. As for the volume: 35.385 A^3/atom. The total magnetization is 0.0 μB per formula unit. The total DFT energy (no corrections) comes out at -11.78 eV for the cell shown.

(2)
DFT (PBE) results for Cs3Tb3InTe8 after structural relaxation.

Lattice parameters (Å, degrees): 8.8648 8.8804 10.5738 114.90 90.00 119.94
Closest atoms and distances in Å follow each position.
Sites, in units of the cell vectors:
1 Cs 0.0000 0.0000 0.0000  6 Te 3.83-3.85
2 Cs 0.0000 0.5000 0.0000  6 Te 3.83-3.85
3 Cs 0.5000 0.5000 0.0000  6 Te 3.83-3.85
4 Tb 0.5000 0.0000 0.5000  6 Te 3.10-3.12
5 Tb 0.5000 0.5000 0.5000  6 Te 3.10-3.11
6 Tb 0.0000 0.5000 0.5000  6 Te 3.10-3.11
7 In 0.0000 0.0000 0.5000  6 Te 3.08
8 Te 0.2694 0.5387 0.3082  3 Tb 3.11-3.12
9 Te 0.7306 0.4613 0.6918  3 Tb 3.11-3.12
10 Te 0.7720 0.5439 0.3123  1 In 3.08, 2 Tb 3.10
11 Te 0.2280 0.4561 0.6877  1 In 3.08, 2 Tb 3.10
12 Te 0.7716 0.0405 0.3120  1 In 3.08, 2 Tb 3.10
13 Te 0.2284 0.9595 0.6880  1 In 3.08, 2 Tb 3.10
14 Te 0.2688 0.0405 0.3120  1 In 3.08, 2 Tb 3.10
15 Te 0.7312 0.9595 0.6880  1 In 3.08, 2 Tb 3.10

Results
As for the volume: 42.030 A^3/atom. The total magnetization is 0.0 μB per formula unit. The total DFT energy (no corrections) comes out at -60.91 eV for the cell shown.

(3)
DFT (PBE) results for CsTbInTe3 after structural relaxation.

Lattice parameters (Å, degrees): 4.4020 10.5271 11.1576 108.24 90.00 90.00
Closest atoms and distances in Å follow each position.
Sites, in units of the cell vectors:
1 Cs 0.2500 0.1934 0.2351  6 Te 3.78-4.09, 1 In 4.08
2 Cs 0.7500 0.8066 0.7649  6 Te 3.78-4.09, 1 In 4.08
3 Tb 0.2500 0.6444 0.1473  6 Te 3.07-3.15
4 Tb 0.7500 0.3556 0.8527  6 Te 3.07-3.15
5 In 0.2500 0.1160 0.5712  3 Te 2.89-2.97
6 In 0.7500 0.8840 0.4288  3 Te 2.89-2.97
7 Te 0.7500 0.8628 0.1641  1 In 2.89, 2 Tb 3.15
8 Te 0.2500 0.1372 0.8359  1 In 2.89, 2 Tb 3.15
9 Te 0.2500 0.6982 0.4394  2 In 2.97, 1 Tb 3.13
10 Te 0.7500 0.3018 0.5606  2 In 2.97, 1 Tb 3.13
11 Te 0.7500 0.4389 0.1422  3 Tb 3.07
12 Te 0.2500 0.5611 0.8578  3 Tb 3.07

Results
As for the volume: 40.922 A^3/atom. The total magnetization is 0.0 μB per formula unit. The total DFT energy (no corrections) comes out at -47.22 eV for the cell shown.

(4)
DFT (PBE) results for CsIn3Tc after structural relaxation.

Lattice parameters (Å, degrees): 5.3566 5.3566 5.3566 90.00 90.00 90.00
Closest atoms and distances in Å follow each position.
Sites, in units of the cell vectors:
1 Cs 0.5000 0.5000 0.5000  12 In 3.79
2 Tc 0.0000 0.0000 0.0000  6 In 2.68
3 In 0.0000 0.5000 0.0000  2 Tc 2.68
4 In 0.0000 0.0000 0.5000  2 Tc 2.68
5 In 0.5000 0.0000 0.0000  2 Tc 2.68

Results
The value obtained for the excess energy over the best structure of this formula in the dataset is 0.0 meV per atom. As for the formation energy: 0.029 eV per atom. As for the volume: 30.740 A^3/atom. The total magnetization is 0.0 μB per formula unit. The total DFT energy (no corrections) comes out at -19.29 eV for the cell shown.

(5)
DFT (PBE) results for CsInTc3 after structural relaxation.

Lattice parameters (Å, degrees): 5.2403 5.2403 5.2403 90.00 90.00 90.00
Closest atoms and distances in Å follow each position.
Sites, in units of the cell vectors:
1 Cs 0.5000 0.5000 0.5000  12 Tc 3.71
2 Tc 0.0000 0.5000 0.0000  2 In 2.62
3 Tc 0.0000 0.0000 0.5000  2 In 2.62
4 Tc 0.5000 0.0000 0.0000  2 In 2.62
5 In 0.0000 0.0000 0.0000  6 Tc 2.62

Results
The value obtained for the excess energy over the best structure of this formula in the dataset is 0.0 meV per atom. As for the formation energy: 2.203 eV per atom. As for the volume: 28.781 A^3/atom. The total magnetization is 8.7 μB per formula unit. The total DFT energy (no corrections) comes out at -23.67 eV for the cell shown.

(6)
DFT (PBE) results for CsIn2Tc after structural relaxation.

Lattice parameters (Å, degrees): 7.1296 7.1296 8.9686 66.58 66.58 90.00
Closest atoms and distances in Å follow each position.
Sites, in units of the cell vectors:
1 Cs 0.0000 0.0000 0.0000  8 In 4.40
2 Cs 0.7500 0.2500 0.5000  8 In 4.40
3 Tc 0.5000 0.5000 0.0000  4 In 2.57
4 Tc 0.2500 0.7500 0.5000  4 In 2.57
5 In 0.3750 0.1250 0.2500  2 Tc 2.57
6 In 0.3750 0.6250 0.2500  2 Tc 2.57
7 In 0.3750 0.6250 0.7500  2 Tc 2.57
8 In 0.8750 0.6250 0.7500  2 Tc 2.57

Results
As for the formation energy: 0.620 eV per atom. As for the volume: 47.130 A^3/atom. The total magnetization is 0.0 μB per formula unit. The total DFT energy (no corrections) comes out at -28.43 eV for the cell shown.

(7)
DFT (PBE) results for Cs3InTc after structural relaxation.

Lattice parameters (Å, degrees): 6.0472 6.0472 6.0472 90.00 90.00 90.00
Closest atoms and distances in Å follow each position.
Sites, in units of the cell vectors:
1 Cs 0.0000 0.5000 0.0000  2 Tc 3.02
2 Cs 0.0000 0.0000 0.5000  2 Tc 3.02
3 Cs 0.5000 0.0000 0.0000  2 Tc 3.02
4 Tc 0.0000 0.0000 0.0000  6 Cs 3.02
5 In 0.5000 0.5000 0.5000  12 Cs 4.28

Results
The value obtained for the excess energy over the best structure of this formula in the dataset is 0.0 meV per atom. As for the formation energy: 1.212 eV per atom. As for the volume: 44.227 A^3/atom. The total magnetization is 0.0 μB per formula unit. The total DFT energy (no corrections) comes out at -9.61 eV for the cell shown.

(8)
DFT (PBE) results for CsInTc3 after structural relaxation.

Lattice parameters (Å, degrees): 4.9761 4.9761 4.9761 90.00 90.00 90.00
Closest atoms and distances in Å follow each position.
Sites, in units of the cell vectors:
1 Cs 0.0000 0.0000 0.0000  6 Tc 2.49
2 Tc 0.0000 0.5000 0.0000  2 Cs 2.49
3 Tc 0.0000 0.0000 0.5000  2 Cs 2.49
4 Tc 0.5000 0.0000 0.0000  2 Cs 2.49
5 In 0.5000 0.5000 0.5000  12 Tc 3.52

Results
The value obtained for the excess energy over the best structure of this formula in the dataset is 693.5 meV per atom. As for the formation energy: 2.897 eV per atom. As for the volume: 24.643 A^3/atom. The total magnetization is 5.5 μB per formula unit. The total DFT energy (no corrections) comes out at -20.21 eV for the cell shown.

(9)
DFT (PBE) results for CsIn3Tc after structural relaxation.

Lattice parameters (Å, degrees): 6.2580 6.2580 6.2580 90.00 90.00 90.00
Closest atoms and distances in Å follow each position.
Sites, in units of the cell vectors:
1 Cs 0.0000 0.0000 0.0000  6 In 3.13
2 Tc 0.5000 0.5000 0.5000  12 In 4.43
3 In 0.0000 0.5000 0.0000  2 Cs 3.13
4 In 0.0000 0.0000 0.5000  2 Cs 3.13
5 In 0.5000 0.0000 0.0000  2 Cs 3.13

Results
The value obtained for the excess energy over the best structure of this formula in the dataset is 1949.7 meV per atom. As for the formation energy: 1.979 eV per atom. As for the volume: 49.016 A^3/atom. The total magnetization is 3.2 μB per formula unit. The total DFT energy (no corrections) comes out at -9.54 eV for the cell shown.

(10)
DFT (PBE) results for Cs2YInTc after structural relaxation.

Lattice parameters (Å, degrees): 5.8105 5.4870 5.8105 90.00 90.00 90.00
Closest atoms and distances in Å follow each position.
Sites, in units of the cell vectors:
1 Cs 0.0000 0.0000 0.5000  2 Tc 2.91
2 Cs 0.5000 0.0000 0.0000  2 Tc 2.91
3 Y 0.5000 0.5000 0.5000  8 Cs 4.00, 4 In 4.11
4 Tc 0.0000 0.0000 0.0000  2 In 2.74, 4 Cs 2.91
5 In 0.0000 0.5000 0.0000  2 Tc 2.74

Results
As for the formation energy: 1.245 eV per atom. As for the volume: 37.051 A^3/atom. The total magnetization is 0.0 μB per formula unit. The total DFT energy (no corrections) comes out at -15.05 eV for the cell shown.